# LiTb4Pa3N8

A relaxed LiTb4Pa3N8 crystal (GGA-PBE, Alexandria via LeMat-Bulk).

Results
Spin magnetization in μB/f.u.: 0.0
Uncorrected formation energy in eV/atom: -1.533
Raw total energy in eV/f.u.: -140.051

```
16
Lattice="3.4732 2.0053 5.6850 -3.4732 2.0053 5.6850 0.0000 -4.0105 5.6850" Properties=species:S:1:pos:R:3 pbc="T T T"
Li 0.0000 0.0000 0.0000
Tb -3.4732 0.0000 8.5275
Tb -1.7366 1.0026 2.8425
Tb 1.7366 1.0026 2.8425
Tb 0.0000 0.0000 8.5275
Pa -1.7366 -1.0026 5.6850
Pa -1.7366 1.0026 11.3700
Pa 0.0000 2.0053 5.6850
N 0.0000 0.0000 4.3252
N 0.0000 -1.8967 7.0322
N -1.6426 0.9484 7.0322
N -1.6426 -0.9484 10.0228
N 1.6426 0.9484 7.0323
N 1.6426 -0.9484 10.0228
N 0.0000 1.8967 10.0228
N 0.0000 0.0000 12.7299
```